Computed, not measured: crystalline CaCuAs2 at its relaxed geometry at the PBEsol level of DFT.

Lattice parameters (Å, degrees): 6.6716 6.6716 6.6716 90.00 90.00 90.00
Closest atoms and distances in Å follow each position.
Space group Fm-3m (No. 225)
Symmetry-distinct sites (fractional):
Ca1 0.0000 0.0000 0.0000 x4  8 As 2.89
Cu1 0.0000 0.0000 0.5000 x4  8 As 2.89
As1 0.2500 0.2500 0.2500 x8  4 Ca 2.89, 4 Cu 2.89

Computed, not measured: crystalline CaCuAs2 at its relaxed geometry at the PBEsol level of DFT.

Lattice parameters (Å, degrees): 6.7029 6.7029 6.7029 90.00 90.00 90.00
Closest atoms and distances in Å follow each position.
Space group F-43m (No. 216)
Symmetry-distinct sites (fractional):
Ca1 0.0000 0.0000 0.0000 x4  4 As 2.90, 4 Cu 2.90
Cu1 0.2500 0.2500 0.2500 x4  4 As 2.90, 4 Ca 2.90
As1 0.0000 0.0000 0.5000 x4  4 Cu 2.90, 4 As 2.90
As2 0.2500 0.2500 0.7500 x4  4 As 2.90, 4 Ca 2.90

Computed, not measured: crystalline CaCuAs2 at its relaxed geometry at the PBEsol level of DFT.

Lattice parameters (Å, degrees): 4.3016 4.3016 3.9250 90.00 90.00 90.00
Closest atoms and distances in Å follow each position.
Space group P4/mmm (No. 123)
Symmetry-distinct sites (fractional):
Ca1 0.0000 0.0000 0.0000 x1  8 As 2.91, 4 Cu 3.04
Cu1 0.5000 0.5000 0.0000 x1  8 As 2.91, 4 Ca 3.04
As1 0.0000 0.5000 0.5000 x2  4 Ca 2.91, 4 Cu 2.91, 4 As 3.04

Computed, not measured: crystalline CaCuAs at its relaxed geometry at the PBEsol level of DFT.

Lattice parameters (Å, degrees): 4.1321 4.1321 7.8360 90.00 90.00 120.00
Closest atoms and distances in Å follow each position.
Space group P6_3/mmc (No. 194)
Symmetry-distinct sites (fractional):
Ca1 0.0000 0.0000 0.0000 x2  6 As 3.09, 6 Cu 3.09
Cu1 0.3333 0.6667 0.2500 x2  3 As 2.39
As1 0.3333 0.6667 0.7500 x2  3 Cu 2.39

For each record above, in turn, the calculated E_form values are -0.17 -0.07 -0.31 -0.82 eV per atom.